1.
Density functional theory data (PBE) for Sm2Ni4Ge3Ru after structural relaxation.

Structure (POSCAR):
```
Sm2Ni4Ge3Ru
1.0
-3.251 -2.108 -1.207
2.373 -3.187 -0.826
-1.281 -3.378 9.351
Ru Ge Ni Sm
1 3 4 2
direct
0.500 0.500 0.500
0.500 0.000 0.874
0.000 0.000 0.500
0.000 0.500 0.126
0.500 0.000 0.635
0.000 0.000 0.000
0.500 0.500 0.000
0.000 0.500 0.365
0.000 0.500 0.752
0.500 0.000 0.248
```

Computed properties:
**Calculated total energy**: -6.114 eV per atom
**Calculated formation energy**: -545 meV per atom

***

2.
Density functional theory data (PBE) for Ba2LiAu after structural relaxation.

Structure (POSCAR):
```
Ba2LiAu
1.0
-3.993 -0.591 -0.807
-0.002 -3.319 2.443
-2.139 1.735 9.315
Ba Li Au
2 1 1
direct
0.000 0.033 0.967
0.000 0.467 0.533
0.500 0.250 0.250
0.500 0.750 0.750
```

Computed properties:
**Energy above the most stable polymorph in this dataset**: 71 meV per atom
**Calculated total energy**: -2.599 eV per atom
**Calculated formation energy**: -339 meV per atom

***

3.
Density functional theory data (PBE) for BaBeAgH6 after structural relaxation.

Structure (POSCAR):
```
BaBeAgH6
1.0
-4.128 0.325 -1.832
-1.399 -3.887 -3.118
-1.805 -3.325 3.467
H Be Ag Ba
6 1 1 1
direct
0.439 0.124 0.701
0.403 0.602 0.742
0.047 0.432 0.296
0.992 0.600 0.745
0.518 0.435 0.294
0.508 0.987 0.279
0.383 0.236 0.426
0.708 0.583 0.521
0.001 0.002 0.996
```

Computed properties:
**Calculated total energy**: -3.226 eV per atom

***

4.
Density functional theory data (PBE) for Sr3Pm2ErTe6 after structural relaxation.

Structure (POSCAR):
```
Sr3Pm2ErTe6
1.0
7.832 0.004 0.000
-3.910 6.786 0.000
-1.308 -2.265 7.582
Te Sr Pm Er
6 3 2 1
direct
0.922 0.597 0.766
0.754 0.754 0.237
0.597 0.922 0.766
0.246 0.246 0.763
0.403 0.078 0.234
0.078 0.403 0.234
0.170 0.830 0.500
0.500 0.500 0.500
0.830 0.170 0.500
0.665 0.335 0.000
0.335 0.665 0.000
0.000 0.000 0.000
```

Computed properties:
**Calculated total energy**: -4.681 eV per atom
**Uncorrected formation energy**: -1518 meV/atom

***

no.,size of the total moment (Bohr magnetons per cell)
1,1.3
2,0.0
3,0.0
4,0.0